(1)
The following is a DFT calculation (PBE-GGA) of a relaxed SrCd5Hg6 crystal.

```
SrCd5Hg6
1.0
3.661 -6.634 0.000
3.661 6.634 0.000
-2.888 0.000 6.711
Sr Cd Hg
1 5 6
Direct
0.000 0.000 0.000 Sr
0.120 0.880 0.500 Cd
0.304 0.696 0.000 Cd
0.500 0.500 0.500 Cd
0.696 0.304 0.000 Cd
0.880 0.120 0.500 Cd
0.110 0.479 0.305 Hg
0.328 0.328 0.800 Hg
0.479 0.110 0.305 Hg
0.521 0.890 0.695 Hg
0.672 0.672 0.200 Hg
0.890 0.521 0.695 Hg
```

## Properties
energy above the lowest structure with this stoichiometry	23	meV/atom
formation energy	-0.10	eV per atom
crystal system	monoclinic
N(E_F)	0.375	states/eV per atom
V	326	Å³/cell
total magnetic moment	0.000	μB per formula unit
DFT total energy	-9.21	eV/f.u.



(2)
The following is a DFT calculation (PBE-GGA) of a relaxed SrCd3Hg9 crystal.

```
SrCd3Hg9
1.0
3.042 -7.454 0.000
3.042 7.454 0.000
-2.859 0.000 7.466
Sr Cd Hg
1 3 9
Direct
0.000 0.000 0.000 Sr
0.000 0.500 0.000 Cd
0.500 0.000 0.000 Cd
0.500 0.500 0.500 Cd
0.000 0.000 0.500 Hg
0.002 0.648 0.650 Hg
0.295 0.506 0.791 Hg
0.352 0.998 0.350 Hg
0.494 0.705 0.209 Hg
0.506 0.295 0.791 Hg
0.648 0.002 0.650 Hg
0.705 0.494 0.209 Hg
0.998 0.352 0.350 Hg
```

## Properties
formation energy	-0.10	eV per atom
crystal system	monoclinic
N(E_F)	0.395	states/eV per atom
V	339	Å³/cell
total magnetic moment	0.000	μB per formula unit
DFT total energy	-8.39	eV/f.u.



(3)
The following is a DFT calculation (PBE-GGA) of a relaxed SrCd4Hg6 crystal.

```
SrCd4Hg6
1.0
-3.848 3.848 5.366
3.848 -3.848 5.366
3.848 3.848 -5.366
Sr Cd Hg
1 4 6
Direct
0.000 0.000 0.000 Sr
0.253 0.607 0.000 Cd
0.393 0.393 0.646 Cd
0.607 0.253 0.000 Cd
0.747 0.747 0.354 Cd
0.000 0.500 0.500 Hg
0.117 0.117 0.673 Hg
0.445 0.445 0.327 Hg
0.500 0.000 0.500 Hg
0.555 0.883 0.000 Hg
0.883 0.555 0.000 Hg
```

## Properties
energy above the lowest structure with this stoichiometry	56	meV/atom
formation energy	-0.06	eV per atom
crystal system	tetragonal
N(E_F)	0.463	states/eV per atom
V	318	Å³/cell
total magnetic moment	0.000	μB per formula unit
DFT total energy	-7.86	eV/f.u.



(4)
The following is a DFT calculation (PBE-GGA) of a relaxed Sr2CdHg2 crystal.

```
Sr2CdHg2
1.0
8.535 0.000 0.000
0.000 8.535 0.000
0.000 0.000 4.387
Sr Cd Hg
4 2 4
Direct
0.172 0.328 0.000 Sr
0.328 0.828 0.000 Sr
0.672 0.172 0.000 Sr
0.828 0.672 0.000 Sr
0.000 0.000 0.500 Cd
0.500 0.500 0.500 Cd
0.130 0.630 0.500 Hg
0.370 0.130 0.500 Hg
0.630 0.870 0.500 Hg
0.870 0.370 0.500 Hg
```

## Properties
energy above the lowest structure with this stoichiometry	16	meV/atom
formation energy	-0.43	eV per atom
crystal system	tetragonal
N(E_F)	0.685	states/eV per atom
V	320	Å³/cell
total magnetic moment	0.000	μB per formula unit
DFT total energy	-7.03	eV/f.u.



(5)
The following is a DFT calculation (PBE-GGA) of a relaxed SrCd2Hg2 crystal.

```
SrCd2Hg2
1.0
8.427 0.000 0.000
0.000 8.427 0.000
0.000 0.000 3.981
Sr Cd Hg
2 4 4
Direct
0.000 0.000 0.000 Sr
0.500 0.500 0.000 Sr
0.166 0.334 0.500 Cd
0.334 0.834 0.500 Cd
0.666 0.166 0.500 Cd
0.834 0.666 0.500 Cd
0.130 0.630 0.000 Hg
0.370 0.130 0.000 Hg
0.630 0.870 0.000 Hg
0.870 0.370 0.000 Hg
```

## Properties
energy above the lowest structure with this stoichiometry	110	meV/atom
formation energy	-0.20	eV per atom
crystal system	tetragonal
N(E_F)	0.519	states/eV per atom
V	283	Å³/cell
total magnetic moment	0.000	μB per formula unit
DFT total energy	-5.11	eV/f.u.



(6)
The following is a DFT calculation (PBE-GGA) of a relaxed SrCd3Hg3 crystal.

```
SrCd3Hg3
1.0
7.902 0.000 0.000
0.000 7.902 0.000
0.000 0.000 7.902
Sr Cd Hg
2 6 6
Direct
0.000 0.000 0.000 Sr
0.500 0.500 0.500 Sr
0.000 0.250 0.500 Cd
0.000 0.750 0.500 Cd
0.250 0.500 0.000 Cd
0.500 0.000 0.250 Cd
0.500 0.000 0.750 Cd
0.750 0.500 0.000 Cd
0.000 0.500 0.250 Hg
0.000 0.500 0.750 Hg
0.250 0.000 0.500 Hg
0.500 0.250 0.000 Hg
0.500 0.750 0.000 Hg
0.750 0.000 0.500 Hg
```

## Properties
energy above the lowest structure with this stoichiometry	306	meV/atom
formation energy	0.08	eV per atom
crystal system	cubic
N(E_F)	0.641	states/eV per atom
V	493	Å³/cell
total magnetic moment	0.000	μB per formula unit
DFT total energy	-4.77	eV/f.u.



(7)
The following is a DFT calculation (PBE-GGA) of a relaxed Sr4CdHg crystal.

```
Sr4CdHg
1.0
4.069 0.000 0.000
0.000 4.069 0.000
0.000 0.000 14.396
Sr Cd Hg
4 1 1
Direct
0.000 0.000 0.134 Sr
0.000 0.000 0.866 Sr
0.500 0.500 0.361 Sr
0.500 0.500 0.639 Sr
0.000 0.000 0.500 Cd
0.500 0.500 0.000 Hg
```

## Properties
energy above the lowest structure with this stoichiometry	0	meV/atom
formation energy	-0.30	eV per atom
crystal system	tetragonal
N(E_F)	0.930	states/eV per atom
V	238	Å³/cell
total magnetic moment	0.000	μB per formula unit
DFT total energy	-9.77	eV/f.u.



(8)
The following is a DFT calculation (PBE-GGA) of a relaxed Sr3Cd3Hg crystal.

```
Sr3Cd3Hg
1.0
6.091 -2.341 0.000
6.091 2.341 0.000
-5.125 0.000 16.377
Sr Cd Hg
6 6 2
Direct
0.028 0.028 0.385 Sr
0.112 0.112 0.924 Sr
0.243 0.243 0.234 Sr
0.757 0.757 0.766 Sr
0.888 0.888 0.076 Sr
0.972 0.972 0.615 Sr
0.364 0.364 0.461 Cd
0.398 0.398 0.922 Cd
0.475 0.475 0.771 Cd
0.525 0.525 0.229 Cd
0.602 0.602 0.078 Cd
0.636 0.636 0.539 Cd
0.267 0.267 0.616 Hg
0.733 0.733 0.384 Hg
```

## Properties
formation energy	-0.35	eV per atom
crystal system	monoclinic
N(E_F)	0.796	states/eV per atom
V	467	Å³/cell
total magnetic moment	0.000	μB per formula unit
DFT total energy	-10.55	eV/f.u.



(9)
The following is a DFT calculation (PBE-GGA) of a relaxed SrCd2Hg crystal.

```
SrCd2Hg
1.0
3.748 0.000 0.000
0.000 5.238 0.000
-0.023 0.000 5.920
Sr Cd Hg
1 2 1
Direct
0.000 0.000 0.000 Sr
0.498 0.500 0.749 Cd
0.502 0.500 0.251 Cd
0.500 0.000 0.500 Hg
```

## Properties
formation energy	-0.25	eV per atom
crystal system	monoclinic
N(E_F)	0.479	states/eV per atom
V	116	Å³/cell
total magnetic moment	0.000	μB per formula unit
DFT total energy	-4.81	eV/f.u.



(10)
The following is a DFT calculation (PBE-GGA) of a relaxed SrCd5Hg3 crystal.

```
SrCd5Hg3
1.0
2.024 -7.640 0.000
2.024 7.640 0.000
0.000 0.000 15.302
Sr Cd Hg
2 10 6
Direct
0.151 0.849 0.750 Sr
0.849 0.151 0.250 Sr
0.000 0.000 0.000 Cd
0.000 0.000 0.500 Cd
0.188 0.812 0.059 Cd
0.188 0.812 0.441 Cd
0.449 0.551 0.652 Cd
0.449 0.551 0.848 Cd
0.551 0.449 0.152 Cd
0.551 0.449 0.348 Cd
0.812 0.188 0.559 Cd
0.812 0.188 0.941 Cd
0.169 0.831 0.250 Hg
0.375 0.625 0.079 Hg
0.375 0.625 0.421 Hg
0.625 0.375 0.579 Hg
0.625 0.375 0.921 Hg
0.831 0.169 0.750 Hg
```

## Properties
formation energy	-0.15	eV per atom
crystal system	orthorhombic
N(E_F)	0.376	states/eV per atom
V	473	Å³/cell
total magnetic moment	0.000	μB per formula unit
DFT total energy	-8.47	eV/f.u.



(11)
The following is a DFT calculation (PBE-GGA) of a relaxed Sr2Cd2Hg5 crystal.

```
Sr2Cd2Hg5
1.0
5.143 0.000 0.000
0.000 5.143 0.000
0.000 0.000 9.703
Sr Cd Hg
2 2 5
Direct
0.000 0.000 0.000 Sr
0.000 0.000 0.500 Sr
0.500 0.500 0.141 Cd
0.500 0.500 0.859 Cd
0.000 0.500 0.276 Hg
0.000 0.500 0.724 Hg
0.500 0.000 0.276 Hg
0.500 0.000 0.724 Hg
0.500 0.500 0.500 Hg
```

## Properties
energy above the lowest structure with this stoichiometry	0	meV/atom
formation energy	-0.27	eV per atom
crystal system	tetragonal
N(E_F)	0.474	states/eV per atom
V	257	Å³/cell
total magnetic moment	0.000	μB per formula unit
DFT total energy	-9.16	eV/f.u.



(12)
The following is a DFT calculation (PBE-GGA) of a relaxed Sr8CdHg2 crystal.

```
Sr8CdHg2
1.0
10.329 -2.869 0.000
10.329 2.869 0.000
-2.478 0.000 7.745
Sr Cd Hg
8 1 2
Direct
0.034 0.034 0.291 Sr
0.204 0.204 0.820 Sr
0.329 0.329 0.532 Sr
0.405 0.405 0.042 Sr
0.595 0.595 0.958 Sr
0.671 0.671 0.468 Sr
0.796 0.796 0.180 Sr
0.966 0.966 0.709 Sr
0.500 0.500 0.500 Cd
0.184 0.184 0.209 Hg
0.816 0.816 0.791 Hg
```

## Properties
energy above the lowest structure with this stoichiometry	0	meV/atom
formation energy	-0.24	eV per atom
crystal system	monoclinic
N(E_F)	1.339	states/eV per atom
V	459	Å³/cell
total magnetic moment	0.000	μB per formula unit
DFT total energy	-17.60	eV/f.u.



(13)
The following is a DFT calculation (PBE-GGA) of a relaxed Sr3Cd2Hg5 crystal.

```
Sr3Cd2Hg5
1.0
11.419 0.000 0.000
0.000 11.419 0.000
0.000 0.000 4.445
Sr Cd Hg
6 4 10
Direct
0.000 0.000 0.000 Sr
0.175 0.325 0.000 Sr
0.325 0.825 0.000 Sr
0.500 0.500 0.000 Sr
0.675 0.175 0.000 Sr
0.825 0.675 0.000 Sr
0.121 0.621 0.000 Cd
0.379 0.121 0.000 Cd
0.621 0.879 0.000 Cd
0.879 0.379 0.000 Cd
0.000 0.500 0.500 Hg
0.067 0.795 0.500 Hg
0.205 0.067 0.500 Hg
0.295 0.567 0.500 Hg
0.433 0.295 0.500 Hg
0.500 0.000 0.500 Hg
0.567 0.705 0.500 Hg
0.705 0.433 0.500 Hg
0.795 0.933 0.500 Hg
0.933 0.205 0.500 Hg
```

## Properties
formation energy	-0.39	eV per atom
crystal system	tetragonal
N(E_F)	0.552	states/eV per atom
V	580	Å³/cell
total magnetic moment	0.000	μB per formula unit
DFT total energy	-12.30	eV/f.u.



(14)
The following is a DFT calculation (PBE-GGA) of a relaxed Sr4Cd3Hg crystal.

```
Sr4Cd3Hg
1.0
4.459 0.000 0.000
0.000 5.065 0.000
0.000 0.000 12.547
Sr Cd Hg
4 3 1
Direct
0.000 0.000 0.000 Sr
0.000 0.500 0.284 Sr
0.500 0.000 0.492 Sr
0.500 0.500 0.788 Sr
0.000 0.000 0.711 Cd
0.000 0.500 0.570 Cd
0.500 0.500 0.069 Cd
0.500 0.000 0.216 Hg
```

## Properties
energy above the lowest structure with this stoichiometry	22	meV/atom
formation energy	-0.36	eV per atom
crystal system	orthorhombic
N(E_F)	1.116	states/eV per atom
V	283	Å³/cell
total magnetic moment	0.000	μB per formula unit
DFT total energy	-12.62	eV/f.u.



(15)
The following is a DFT calculation (PBE-GGA) of a relaxed SrCd2Hg crystal.

```
SrCd2Hg
1.0
4.780 0.000 0.000
0.000 4.780 0.000
0.000 0.000 4.984
Sr Cd Hg
1 2 1
Direct
0.000 0.000 0.000 Sr
0.000 0.500 0.500 Cd
0.500 0.000 0.500 Cd
0.500 0.500 0.000 Hg
```

## Properties
formation energy	-0.27	eV per atom
crystal system	tetragonal
N(E_F)	0.563	states/eV per atom
V	114	Å³/cell
total magnetic moment	0.000	μB per formula unit
DFT total energy	-4.91	eV/f.u.



(16)
The following is a DFT calculation (PBE-GGA) of a relaxed Sr2Cd2Hg3 crystal.

```
Sr2Cd2Hg3
1.0
2.291 -10.582 0.000
2.291 10.582 0.000
0.000 0.000 8.484
Sr Cd Hg
4 4 6
Direct
0.058 0.942 0.750 Sr
0.155 0.845 0.250 Sr
0.845 0.155 0.750 Sr
0.942 0.058 0.250 Sr
0.311 0.689 0.057 Cd
0.311 0.689 0.443 Cd
0.689 0.311 0.557 Cd
0.689 0.311 0.943 Cd
0.228 0.772 0.750 Hg
0.440 0.560 0.574 Hg
0.440 0.560 0.926 Hg
0.560 0.440 0.074 Hg
0.560 0.440 0.426 Hg
0.772 0.228 0.250 Hg
```

## Properties
energy above the lowest structure with this stoichiometry	0	meV/atom
formation energy	-0.38	eV per atom
crystal system	orthorhombic
N(E_F)	0.528	states/eV per atom
V	411	Å³/cell
total magnetic moment	0.000	μB per formula unit
DFT total energy	-8.77	eV/f.u.



(17)
The following is a DFT calculation (PBE-GGA) of a relaxed SrCdHg crystal.

```
SrCdHg
1.0
-2.035 2.035 5.282
2.035 -2.035 5.282
2.035 2.035 -5.282
Sr Cd Hg
1 1 1
Direct
0.000 0.000 0.000 Sr
0.681 0.681 0.000 Cd
0.324 0.324 0.000 Hg
```

## Properties
formation energy	-0.37	eV per atom
crystal system	tetragonal
N(E_F)	0.205	states/eV per atom
V	88	Å³/cell
total magnetic moment	0.000	μB per formula unit
DFT total energy	-4.00	eV/f.u.



(18)
The following is a DFT calculation (PBE-GGA) of a relaxed Sr3Cd6Hg5 crystal.

```
Sr3Cd6Hg5
1.0
4.712 0.000 0.000
0.000 14.151 0.000
0.000 0.000 11.516
Sr Cd Hg
6 12 10
Direct
0.250 0.069 0.244 Sr
0.250 0.431 0.244 Sr
0.250 0.750 0.261 Sr
0.750 0.250 0.739 Sr
0.750 0.569 0.756 Sr
0.750 0.931 0.756 Sr
0.250 0.072 0.597 Cd
0.250 0.250 0.020 Cd
0.250 0.250 0.469 Cd
0.250 0.428 0.597 Cd
0.250 0.593 0.992 Cd
0.250 0.907 0.992 Cd
0.750 0.093 0.008 Cd
0.750 0.407 0.008 Cd
0.750 0.572 0.403 Cd
0.750 0.750 0.531 Cd
0.750 0.750 0.980 Cd
0.750 0.928 0.403 Cd
0.250 0.091 0.849 Hg
0.250 0.409 0.849 Hg
0.250 0.629 0.551 Hg
0.250 0.750 0.800 Hg
0.250 0.871 0.551 Hg
0.750 0.129 0.449 Hg
0.750 0.250 0.200 Hg
0.750 0.371 0.449 Hg
0.750 0.591 0.151 Hg
0.750 0.909 0.151 Hg
```

## Properties
formation energy	-0.32	eV per atom
crystal system	orthorhombic
N(E_F)	0.398	states/eV per atom
V	768	Å³/cell
total magnetic moment	0.000	μB per formula unit
DFT total energy	-16.54	eV/f.u.



(19)
The following is a DFT calculation (PBE-GGA) of a relaxed Sr2Cd9Hg3 crystal.

```
Sr2Cd9Hg3
1.0
7.667 -4.634 0.000
7.667 4.634 0.000
0.000 0.000 10.037
Sr Cd Hg
4 18 6
Direct
0.009 0.296 0.250 Sr
0.296 0.009 0.750 Sr
0.704 0.991 0.250 Sr
0.991 0.704 0.750 Sr
0.032 0.637 0.097 Cd
0.032 0.637 0.403 Cd
0.167 0.833 0.250 Cd
0.336 0.664 0.541 Cd
0.336 0.664 0.959 Cd
0.363 0.968 0.097 Cd
0.363 0.968 0.403 Cd
0.377 0.428 0.250 Cd
0.428 0.377 0.750 Cd
0.572 0.623 0.250 Cd
0.623 0.572 0.750 Cd
0.637 0.032 0.597 Cd
0.637 0.032 0.903 Cd
0.664 0.336 0.041 Cd
0.664 0.336 0.459 Cd
0.833 0.167 0.750 Cd
0.968 0.363 0.597 Cd
0.968 0.363 0.903 Cd
0.000 0.000 0.000 Hg
0.000 0.000 0.500 Hg
0.301 0.301 0.000 Hg
0.301 0.301 0.500 Hg
0.699 0.699 0.000 Hg
0.699 0.699 0.500 Hg
```

## Properties
formation energy	-0.20	eV per atom
crystal system	orthorhombic
N(E_F)	0.438	states/eV per atom
V	713	Å³/cell
total magnetic moment	0.000	μB per formula unit
DFT total energy	-15.24	eV/f.u.



(20)
The following is a DFT calculation (PBE-GGA) of a relaxed Sr5Cd2Hg crystal.

```
Sr5Cd2Hg
1.0
7.538 0.000 0.000
0.000 14.108 0.000
0.000 0.000 5.690
Sr Cd Hg
10 4 2
Direct
0.000 0.000 0.000 Sr
0.135 0.282 0.000 Sr
0.172 0.600 0.500 Sr
0.328 0.100 0.500 Sr
0.365 0.782 0.000 Sr
0.500 0.500 0.000 Sr
0.635 0.218 0.000 Sr
0.672 0.900 0.500 Sr
0.828 0.400 0.500 Sr
0.865 0.718 0.000 Sr
0.129 0.857 0.500 Cd
0.371 0.357 0.500 Cd
0.629 0.643 0.500 Cd
0.871 0.143 0.500 Cd
0.000 0.500 0.000 Hg
0.500 0.000 0.000 Hg
```

## Properties
formation energy	-0.28	eV per atom
crystal system	orthorhombic
N(E_F)	1.014	states/eV per atom
V	605	Å³/cell
total magnetic moment	0.000	μB per formula unit
DFT total energy	-12.80	eV/f.u.